Entry 1:
Entry from the Alexandria database: a geometry-optimized GdYMnRh structure (GGA-PBE).

a b c (Å): 7.009 7.009 7.009
angles (deg): 90.00 90.00 90.00
Atoms (fractional coordinates):
Gd: 0.000 0.000 0.000
Gd: 0.000 0.500 0.500
Gd: 0.500 0.000 0.500
Gd: 0.500 0.500 0.000
Y: 0.000 0.000 0.500
Y: 0.000 0.500 0.000
Y: 0.500 0.000 0.000
Y: 0.500 0.500 0.500
Mn: 0.250 0.250 0.750
Mn: 0.250 0.750 0.250
Mn: 0.750 0.250 0.250
Mn: 0.750 0.750 0.750
Rh: 0.250 0.250 0.250
Rh: 0.250 0.750 0.750
Rh: 0.750 0.250 0.750
Rh: 0.750 0.750 0.250

Summary:
* density of states at the Fermi level: 5.07 states/eV/f.u.
* space group: No. 216
* ΔE_f: -21.2 kJ/mol of atoms
* E_tot: -151.777 eV for the cell shown



Entry 2:
Entry from the Alexandria database: a geometry-optimized Be2NbF structure (GGA-PBE).

a b c (Å): 5.839 5.839 5.839
angles (deg): 90.00 90.00 90.00
Atoms (fractional coordinates):
Be: 0.250 0.250 0.250
Be: 0.250 0.250 0.750
Be: 0.250 0.750 0.250
Be: 0.250 0.750 0.750
Be: 0.750 0.250 0.250
Be: 0.750 0.250 0.750
Be: 0.750 0.750 0.250
Be: 0.750 0.750 0.750
Nb: 0.000 0.000 0.000
Nb: 0.000 0.500 0.500
Nb: 0.500 0.000 0.500
Nb: 0.500 0.500 0.000
F: 0.000 0.000 0.500
F: 0.000 0.500 0.000
F: 0.500 0.000 0.000
F: 0.500 0.500 0.500

Summary:
* density of states at the Fermi level: 2.06 states/eV/f.u.
* formation energy from raw total energies: 1.84 eV/f.u.
* space group: No. 225
* E_tot: -70.230 eV for the cell shown
* ΔE to the lowest computed polymorph: 611 meV/atom



Entry 3:
Entry from the Alexandria database: a geometry-optimized TaMo2Ir structure (GGA-PBE).

a b c (Å): 3.585 4.219 8.542
angles (deg): 90.00 90.00 90.00
Atoms (fractional coordinates):
Ta: 0.000 0.000 0.000
Ta: 0.500 0.500 0.000
Mo: 0.000 0.000 0.471
Mo: 0.000 0.500 0.732
Mo: 0.500 0.000 0.732
Mo: 0.500 0.500 0.471
Ir: 0.000 0.500 0.244
Ir: 0.500 0.000 0.244

Summary:
* density of states at the Fermi level: 3.07 states/eV/f.u.
* space group: No. 35
* ΔE_f: -10.8 kJ/mol of atoms
* E_tot: -85.651 eV for the cell shown
* ΔE to the lowest computed polymorph: 41 meV/atom



Entry 4:
Entry from the Alexandria database: a geometry-optimized AcCeSmHg structure (GGA-PBE).

a b c (Å): 7.948 7.948 7.948
angles (deg): 90.00 90.00 90.00
Atoms (fractional coordinates):
Ac: 0.000 0.000 0.000
Ac: 0.000 0.500 0.500
Ac: 0.500 0.000 0.500
Ac: 0.500 0.500 0.000
Ce: 0.250 0.250 0.750
Ce: 0.250 0.750 0.250
Ce: 0.750 0.250 0.250
Ce: 0.750 0.750 0.750
Sm: 0.250 0.250 0.250
Sm: 0.250 0.750 0.750
Sm: 0.750 0.250 0.750
Sm: 0.750 0.750 0.250
Hg: 0.000 0.000 0.500
Hg: 0.000 0.500 0.000
Hg: 0.500 0.000 0.000
Hg: 0.500 0.500 0.500

Summary:
* density of states at the Fermi level: 10.66 states/eV/f.u.
* space group: No. 216
* ΔE_f: 5.5 kJ/mol of atoms
* E_tot: -59.336 eV for the cell shown